Material: CaTlNO2
Method: DFT, PBE
State: relaxed

```
data_CaTlNO2
_chemical_formula_sum 'Ca1 Tl1 N1 O2'
_cell_length_a 4.5191
_cell_length_b 4.5191
_cell_length_c 4.7974
_cell_angle_alpha 90.00
_cell_angle_beta 90.00
_cell_angle_gamma 90.00
_symmetry_space_group_name_H-M 'P 4/m m m'
_symmetry_Int_Tables_number 123
_symmetry_space_group_name_Hall '-P 4 2'
loop_
_atom_site_label
_atom_site_type_symbol
_atom_site_fract_x
_atom_site_fract_y
_atom_site_fract_z
Ca1 Ca 0.0000 0.0000 0.0000
Tl1 Tl 0.5000 0.5000 0.5000
N1 N 0.0000 0.0000 0.5000
O1 O 0.0000 0.5000 0.0000
```

Computed properties:
- mass density (g/cm3) = 4.9
- electronic total energy (eV per atom) = -4.496
- energy relative to the elements, uncorrected (eV per atom) = 0.025
- DOS at the Fermi energy (states/eV per cell) = 2.57

=====

Material: CaTlNO2
Method: DFT, PBE
State: relaxed

```
data_CaTlNO2
_chemical_formula_sum 'Ca1 Tl1 N1 O2'
_cell_length_a 4.3359
_cell_length_b 4.3359
_cell_length_c 4.2138
_cell_angle_alpha 90.00
_cell_angle_beta 90.00
_cell_angle_gamma 90.00
_symmetry_space_group_name_H-M 'P 4/m m m'
_symmetry_Int_Tables_number 123
_symmetry_space_group_name_Hall '-P 4 2'
loop_
_atom_site_label
_atom_site_type_symbol
_atom_site_fract_x
_atom_site_fract_y
_atom_site_fract_z
Ca1 Ca 0.0000 0.0000 0.0000
Tl1 Tl 0.5000 0.5000 0.5000
N1 N 0.5000 0.5000 0.0000
O1 O 0.0000 0.5000 0.5000
```

Computed properties:
- mass density (g/cm3) = 6.1
- electronic total energy (eV per atom) = -4.699
- energy relative to the elements, uncorrected (eV per atom) = -0.177
- DOS at the Fermi energy (states/eV per cell) = 3.27

=====

Material: CaTl2NO
Method: DFT, PBE
State: relaxed

```
data_CaTl2NO
_chemical_formula_sum 'Ca1 Tl2 N1 O1'
_cell_length_a 6.1161
_cell_length_b 6.1161
_cell_length_c 4.0234
_cell_angle_alpha 90.00
_cell_angle_beta 90.00
_cell_angle_gamma 90.00
_symmetry_space_group_name_H-M 'P 4/m m m'
_symmetry_Int_Tables_number 123
_symmetry_space_group_name_Hall '-P 4 2'
loop_
_atom_site_label
_atom_site_type_symbol
_atom_site_fract_x
_atom_site_fract_y
_atom_site_fract_z
Ca1 Ca 0.0000 0.0000 0.0000
Tl1 Tl 0.0000 0.5000 0.0000
N1 N 0.0000 0.0000 0.5000
O1 O 0.5000 0.5000 0.5000
```

Computed properties:
- mass density (g/cm3) = 5.3
- electronic total energy (eV per atom) = -3.153
- energy relative to the elements, uncorrected (eV per atom) = 0.851
- DOS at the Fermi energy (states/eV per cell) = 2.87

=====

Material: Ca2UN2O2
Method: DFT, PBE
State: relaxed

```
data_Ca2UN2O2
_chemical_formula_sum 'Ca4 U2 N4 O4'
_cell_length_a 4.2581
_cell_length_b 4.2581
_cell_length_c 12.1623
_cell_angle_alpha 90.00
_cell_angle_beta 90.00
_cell_angle_gamma 90.00
_symmetry_space_group_name_H-M 'I 4/m m m'
_symmetry_Int_Tables_number 139
_symmetry_space_group_name_Hall '-I 4 2'
loop_
_atom_site_label
_atom_site_type_symbol
_atom_site_fract_x
_atom_site_fract_y
_atom_site_fract_z
Ca1 Ca 0.0000 0.0000 0.1429
U1 U 0.0000 0.0000 0.5000
N1 N 0.0000 0.5000 0.0000
O1 O 0.0000 0.0000 0.3238
```

Computed properties:
- mass density (g/cm3) = 5.7
- electronic total energy (eV per atom) = -8.077
- energy relative to the elements, uncorrected (eV per atom) = -2.097